Entry w
Sr2ZrCr | PBE | relaxed

It has space group Cm (No. 8), with a = 8.8380 Å, b = 3.7576 Å, c = 9.1432 Å, α = 90.00°, β = 105.12° and γ = 90.00°. Symmetry generates all atoms from Sr at (0.0000, 0.0000, 0.0000), Sr at (0.1588, 0.0000, 0.5848), Zr at (0.2807, 0.5000, 0.2921) and Cr at (0.4951, 0.0000, 0.2925).

For the density of states at the Fermi level, the calculation gives 0.93 states/eV/atom. The size of the total moment comes out at 5.7 μB/cell.


Entry x
Sr2ZrCr | PBE | relaxed

It has space group I-42d (No. 122), with a = 11.6252 Å, b = 11.6252 Å, c = 4.8447 Å, α = 90.00°, β = 90.00° and γ = 90.00°. Symmetry generates all atoms from Sr at (0.0971, 0.2500, 0.1250), Zr at (0.0000, 0.0000, 0.5000) and Cr at (0.0000, 0.0000, 0.0000).

For the density of states at the Fermi level, the calculation gives 1.08 states/eV/atom. The size of the total moment comes out at 8.0 μB/cell.


Entry y
Sr2ZrCr | PBE | relaxed

It has space group I4/mmm (No. 139), with a = 4.9823 Å, b = 4.9823 Å, c = 10.2303 Å, α = 90.00°, β = 90.00° and γ = 90.00°. Symmetry generates all atoms from Sr at (0.0000, 0.5000, 0.2500), Zr at (0.0000, 0.0000, 0.0000) and Cr at (0.0000, 0.0000, 0.5000).

For the density of states at the Fermi level, the calculation gives 1.43 states/eV/atom. The size of the total moment comes out at 3.0 μB/cell.


Entry z
Sr2ZrCr | PBE | relaxed

It has space group R3m (No. 160, hexagonal axes), with a = 3.7332 Å, b = 3.7332 Å, c = 32.8039 Å, α = 90.00°, β = 90.00° and γ = 120.00°. Symmetry generates all atoms from Sr at (0.0000, 0.0000, 0.0000), Sr at (0.0000, 0.0000, 0.2212), Zr at (0.0000, 0.0000, 0.4626) and Cr at (0.0000, 0.0000, 0.7429).

For the density of states at the Fermi level, the calculation gives 1.26 states/eV/atom. The size of the total moment comes out at 10.3 μB/cell.


So which one is most stable? That would be entry w, about 73 meV/atom below the next structure.


Entry w
Sr2ZrCr | PBE | relaxed

It has space group P4/mmm (No. 123), with a = 3.5474 Å, b = 3.5474 Å, c = 10.1874 Å, α = 90.00°, β = 90.00° and γ = 90.00°. Symmetry generates all atoms from Sr at (0.0000, 0.0000, 0.2380), Zr at (0.5000, 0.5000, 0.5000) and Cr at (0.5000, 0.5000, 0.0000).

For the density of states at the Fermi level, the calculation gives 1.18 states/eV/atom. The size of the total moment comes out at 5.1 μB/cell.


Entry x
Sr2ZrCr | PBE | relaxed

It has space group Imm2 (No. 44), with a = 3.7095 Å, b = 5.9437 Å, c = 11.6437 Å, α = 90.00°, β = 90.00° and γ = 90.00°. Symmetry generates all atoms from Sr at (0.0000, 0.0000, 0.0000), Sr at (0.0000, 0.5000, 0.2055), Zr at (0.0000, 0.5000, 0.7967) and Cr at (0.0000, 0.0000, 0.4630).

For the density of states at the Fermi level, the calculation gives 0.90 states/eV/atom. The size of the total moment comes out at 4.4 μB/cell.


So which one is most stable? That would be entry x, about 183 meV/atom below the next structure.


Entry w
Sr2ZrCr | PBE | relaxed

It has space group Cmmm (No. 65), with a = 7.0883 Å, b = 10.2391 Å, c = 3.5234 Å, α = 90.00°, β = 90.00° and γ = 90.00°. Symmetry generates all atoms from Sr at (0.2500, 0.2500, 0.0000), Zr at (0.0000, 0.0000, 0.5000) and Cr at (0.0000, 0.5000, 0.5000).

For the density of states at the Fermi level, the calculation gives 1.22 states/eV/atom. The size of the total moment comes out at 6.3 μB/cell.


Entry x
Sr2ZrCr | PBE | relaxed

It has space group I-4m2 (No. 119), with a = 5.5382 Å, b = 5.5382 Å, c = 7.8832 Å, α = 90.00°, β = 90.00° and γ = 90.00°. Symmetry generates all atoms from Sr at (0.0000, 0.0000, 0.0000), Sr at (0.0000, 0.5000, 0.2500), Zr at (0.0000, 0.5000, 0.7500) and Cr at (0.0000, 0.0000, 0.5000).

For the density of states at the Fermi level, the calculation gives 1.49 states/eV/atom. The size of the total moment comes out at 6.5 μB/cell.


Entry y
Sr2ZrCr | PBE | relaxed

It has space group Fm-3m (No. 225), with a = 8.0356 Å, b = 8.0356 Å, c = 8.0356 Å, α = 90.00°, β = 90.00° and γ = 90.00°. Symmetry generates all atoms from Sr at (0.2500, 0.2500, 0.2500), Zr at (0.0000, 0.0000, 0.0000) and Cr at (0.0000, 0.0000, 0.5000).

For the density of states at the Fermi level, the calculation gives 2.65 states/eV/atom. The size of the total moment comes out at 6.3 μB/cell.


Entry z
Sr2ZrCr | PBE | relaxed

It has space group P4mm (No. 99), with a = 3.7035 Å, b = 3.7035 Å, c = 9.4716 Å, α = 90.00°, β = 90.00° and γ = 90.00°. Symmetry generates all atoms from Sr at (0.0000, 0.0000, 0.0000), Sr at (0.5000, 0.5000, 0.3681), Zr at (0.0000, 0.0000, 0.6392) and Cr at (0.5000, 0.5000, 0.7574).

For the density of states at the Fermi level, the calculation gives 1.30 states/eV/atom. The size of the total moment comes out at 2.6 μB/cell.


So which one is most stable? That would be entry z, about 336 meV/atom below the next structure.